w | A relaxed structure of Nd2In5Cu3. Source: Alexandria via LeMat-Bulk, functional GGA-PBE.

- Calculated density: 7921 kg/m³
- Space group: Cmc2_1 (36)
- Crystal system: orthorhombic

Cell lengths 4.572, 7.348, 13.342 Å; angles 90.00, 99.87, 90.00 degrees
Fractional coordinates of all 20 atoms:
Nd 0.480 0.759 0.961
Nd 0.173 0.722 0.346
Nd 0.827 0.222 0.654
Nd 0.520 0.259 0.039
In 0.401 0.409 0.802
In 0.290 0.516 0.579
In 0.710 0.016 0.421
In 0.123 0.242 0.246
In 0.295 0.922 0.591
In 0.948 0.079 0.897
In 0.705 0.422 0.409
In 0.877 0.742 0.754
In 0.052 0.579 0.103
In 0.599 0.909 0.198
Cu 0.773 0.716 0.546
Cu 0.607 0.531 0.213
Cu 0.048 0.969 0.095
Cu 0.227 0.216 0.454
Cu 0.952 0.469 0.905
Cu 0.393 0.031 0.787

***

x | A relaxed structure of Nd2In5Cu3. Source: Alexandria via LeMat-Bulk, functional GGA-PBE.

- Calculated density: 7764 kg/m³
- Space group: Ibam (72)
- Crystal system: orthorhombic

Cell lengths 6.347, 9.028, 9.028 Å; angles 77.18, 69.42, 69.42 degrees
Fractional coordinates of all 20 atoms:
Nd 0.136 0.606 0.121
Nd 0.636 0.121 0.606
Nd 0.864 0.394 0.879
Nd 0.364 0.879 0.394
In 0.400 0.253 0.948
In 0.900 0.948 0.253
In 0.600 0.747 0.052
In 0.100 0.052 0.747
In 0.493 0.757 0.757
In 0.507 0.243 0.243
In 0.750 0.500 0.500
In 0.250 0.500 0.500
In 0.007 0.243 0.243
In 0.993 0.757 0.757
Cu 0.370 0.505 0.755
Cu 0.870 0.755 0.505
Cu 0.630 0.495 0.245
Cu 0.130 0.245 0.495
Cu 0.250 0.000 0.000
Cu 0.750 0.000 0.000

***

Of all the structures shown, which is most stable? w, and x is the least stable.